Entry 1:
A plane-wave DFT calculation with PBE-GGA was carried out for crystalline Ni2RuCl at its relaxed geometry.

a = 2.8168 Å, b = 2.8168 Å, c = 23.1051 Å
α = 90.00°, β = 90.00°, γ = 120.00°
Space group R3m (No. 160, hexagonal axes)
One atom of each set of equivalent atoms:
Ni: 0.0000 0.0000 0.0000 x3
Ni: 0.0000 0.0000 0.2515 x3
Ru: 0.0000 0.0000 0.7498 x3
Cl: 0.0000 0.0000 0.5058 x3

Results
- E_form (uncorrected): 0.423 eV/atom
- Electronic total energy: -5.2484 eV per atom
- Energy above the most stable polymorph in this dataset: 154 meV/atom


Entry 2:
A plane-wave DFT calculation with PBE-GGA was carried out for crystalline Nb2TlH at its relaxed geometry.

a = 5.487 Å, b = 5.487 Å, c = 9.427 Å
α = 90.00°, β = 90.00°, γ = 90.00°
Space group I4_1/amd (No. 141, origin choice 2)
One atom of each set of equivalent atoms:
Nb: 0.000 0.000 0.000 x8
Tl: 0.000 0.250 0.375 x4
H: 0.000 0.250 0.875 x4

Results
- Electronic total energy: -6.0570 eV per atom
- Energy above the most stable polymorph in this dataset: 254 meV/atom


Entry 3:
A plane-wave DFT calculation with PBE-GGA was carried out for crystalline K2Tm2F7 at its relaxed geometry.

a = 7.434 Å, b = 8.065 Å, c = 6.606 Å
α = 90.00°, β = 90.00°, γ = 90.00°
Space group Cmmm (No. 65)
One atom of each set of equivalent atoms:
K: 0.238 0.000 0.000 x4
Tm: 0.000 0.229 0.500 x4
F: 0.000 0.000 0.311 x4
F: 0.000 0.500 0.500 x2
F: 0.250 0.250 0.308 x8

Results
- E_form (uncorrected): -3.496 eV/atom
- Electronic total energy: -5.6996 eV per atom